Cr2AgRu: relaxed, PBE-GGA.

```
Cr2AgRu
1.0
-1.1593 -2.0491 1.7006
2.6527 -0.7270 0.9323
-0.5509 4.5700 5.1309
Ag Cr Ru
1 2 1
direct
0.5000 0.5000 0.7562 Ag
0.5000 0.5000 0.2485 Cr
0.0000 0.0000 0.0383 Cr
0.0000 0.0000 0.4570 Ru
```

Results
ΔE_f: 33.2 kJ/mol of atoms
raw total energy: -7.500 eV per atom
density: 8.94 g/cm³
total magnetization: 0.501 μB per atom
space group: P4mm (99)

Cr2AgRu: relaxed, PBE-GGA.

```
Cr2AgRu
1.0
2.6459 0.0004 0.0000
-1.0476 2.4297 0.0000
0.0000 0.0000 8.7124
Ru Ag Cr
1 1 2
direct
0.0000 0.0000 0.4713 Ru
0.5000 0.5000 0.7584 Ag
0.0000 0.0000 0.0344 Cr
0.5000 0.5000 0.2359 Cr
```

Results
ΔE_f: 36.3 kJ/mol of atoms
raw total energy: -7.467 eV per atom
density: 9.28 g/cm³
total magnetization: 0.000 μB per atom
space group: Cmm2 (35)

Cr2AgRu: relaxed, PBE-GGA.

```
Cr2AgRu
1.0
-2.5744 -2.7448 2.7711
1.4437 -4.4122 -0.5372
2.3715 3.9241 0.9045
Cr Ag Ru
2 1 1
direct
0.5001 0.5001 0.0000 Cr
0.9999 0.9999 0.0000 Cr
0.2500 0.7500 0.5000 Ag
0.7500 0.2500 0.5000 Ru
```

Results
ΔE_f: 46.1 kJ/mol of atoms
raw total energy: -7.366 eV per atom
density: 9.18 g/cm³
total magnetization: 0.000 μB per atom
space group: I4/mmm (139)

Cr2AgRu: relaxed, PBE-GGA.

```
Cr2AgRu
1.0
-1.9328 -1.2717 6.4141
-4.4467 -4.6482 -2.2616
-1.3390 -4.8222 2.2647
Cr Ru Ag
4 2 2
direct
0.3750 0.4153 0.7500 Cr
0.8750 0.8347 0.7500 Cr
0.1653 0.6250 0.2500 Cr
0.5847 0.1250 0.2500 Cr
0.2500 0.7500 0.5000 Ru
0.5000 0.5000 0.0000 Ru
0.0000 0.0000 0.0000 Ag
0.7500 0.2500 0.5000 Ag
```

Results
ΔE_f: 87.0 kJ/mol of atoms
raw total energy: -6.942 eV per atom
density: 8.49 g/cm³
total magnetization: 0.000 μB per atom
space group: I-42d (122)

CrAgRu4: relaxed, PBE-GGA.

```
CrAgRu4
1.0
-2.2464 3.2207 3.2776
-2.7840 3.9125 -1.7617
-5.0864 -0.0337 0.5380
Ru Ag Cr
4 1 1
direct
0.3750 0.3750 0.8750 Ru
0.3750 0.8750 0.3750 Ru
0.8750 0.3750 0.3750 Ru
0.3750 0.3750 0.3750 Ru
0.7500 0.7500 0.7500 Ag
0.0000 0.0000 0.0000 Cr
```

Results
ΔE_f: 58.0 kJ/mol of atoms
raw total energy: -7.662 eV per atom
density: 9.90 g/cm³
total magnetization: 0.098 μB per atom
space group: F-43m (216)

Cr2AgRu: relaxed, PBE-GGA.

```
Cr2AgRu
1.0
5.1646 0.0068 -0.0071
2.4112 4.5672 0.0071
-3.2371 -3.1993 2.4411
Ru Ag Cr
1 1 2
direct
0.5235 0.5235 0.0000 Ru
0.2447 0.7447 0.5000 Ag
0.7563 0.2563 0.5000 Cr
0.9755 0.9755 0.0000 Cr
```

Results
ΔE_f: 41.9 kJ/mol of atoms
raw total energy: -7.409 eV per atom
density: 9.02 g/cm³
total magnetization: 0.118 μB per atom
space group: Imm2 (44)

CrAgSbRu2: relaxed, PBE-GGA.

```
CrAgSbRu2
1.0
-1.5105 -4.1732 1.8427
4.6315 -1.0931 1.3211
-0.7085 2.1322 4.2480
Ag Cr Ru Sb
1 1 2 1
direct
0.0000 0.5000 0.0000 Ag
0.5000 0.5000 0.5000 Cr
0.0000 0.0000 0.5000 Ru
0.5000 0.0000 0.0000 Ru
0.0000 0.0000 0.0000 Sb
```

Results
raw total energy: -5.121 eV per atom
density: 7.04 g/cm³
total magnetization: 0.003 μB per atom
space group: P4/mmm (123)

CrAgTe2Ru: relaxed, PBE-GGA.

```
CrAgTe2Ru
1.0
5.0645 0.0000 0.0000
0.0000 5.0645 0.0000
0.0000 0.0000 5.0581
Cr Te Ru Ag
1 2 1 1
direct
0.5000 0.5000 0.5000 Cr
0.0000 0.5000 0.0000 Te
0.5000 0.0000 0.0000 Te
0.0000 0.0000 0.0000 Ru
0.0000 0.0000 0.5000 Ag
```

Results
raw total energy: -4.345 eV per atom
density: 6.61 g/cm³
total magnetization: 0.231 μB per atom
space group: P4/mmm (123)

ZnCrAgRu2: relaxed, PBE-GGA.

```
ZnCrAgRu2
1.0
-3.5380 -2.3126 -2.3162
1.8440 -3.9615 1.1387
-2.6151 -0.0537 4.0482
Ru Cr Ag Zn
2 1 1 1
direct
0.5000 0.0000 0.0000 Ru
0.0000 0.0000 0.5000 Ru
0.0000 0.5000 0.0000 Cr
0.0000 0.0000 0.0000 Ag
0.5000 0.5000 0.5000 Zn
```

Results
ΔE_f: 224.4 kJ/mol of atoms
raw total energy: -4.135 eV per atom
density: 6.77 g/cm³
total magnetization: 0.230 μB per atom
space group: P4/mmm (123)

CrAg3S: relaxed, PBE-GGA.

```
CrAg3S
1.0
-3.9102 2.7700 -0.8005
-2.7423 -3.9894 -0.4099
-0.8910 0.1219 4.7744
Cr Ag S
1 3 1
direct
0.5000 0.5000 0.5000 Cr
0.0000 0.5000 0.0000 Ag
0.5000 0.0000 0.0000 Ag
0.0000 0.0000 0.5000 Ag
0.0000 0.0000 0.0000 S
```

Results
raw total energy: -3.771 eV per atom
density: 5.90 g/cm³
energy above the most stable polymorph in this dataset: 0 meV per atom
total magnetization: 1.010 μB per atom
space group: Pm-3m (221)

Cr2AgS: relaxed, PBE-GGA.

```
Cr2AgS
1.0
-2.5657 -2.5515 -0.6593
2.5073 -2.0802 -1.7069
1.9236 -6.2642 6.4975
Ag Cr S
2 4 2
direct
0.7500 0.2500 0.5000 Ag
0.0000 0.0000 0.0000 Ag
0.2056 0.6250 0.2500 Cr
0.8750 0.7944 0.7500 Cr
0.3750 0.4556 0.7500 Cr
0.5444 0.1250 0.2500 Cr
0.5000 0.5000 0.0000 S
0.2500 0.7500 0.5000 S
```

Results
raw total energy: -5.874 eV per atom
density: 6.76 g/cm³
total magnetization: 0.000 μB per atom
space group: I-42d (122)

CrAgS3: relaxed, PBE-GGA.

```
CrAgS3
1.0
4.6652 -0.2632 -0.2305
0.4500 4.6508 -0.2305
0.4500 0.3860 4.6405
S Ag Cr
3 1 1
direct
0.7104 0.1818 0.1818 S
0.1818 0.1818 0.7104 S
0.1818 0.7104 0.1818 S
0.7939 0.7939 0.7939 Ag
0.2571 0.2571 0.2571 Cr
```

Results
raw total energy: -4.902 eV per atom
density: 4.16 g/cm³
energy above the most stable polymorph in this dataset: 0 meV per atom
total magnetization: 0.227 μB per atom
space group: R3m (160)

Which formula does entry 7 have? CrAgSbRu2

Among the records above, which one has the lowest density? CrAgS3

Number 8 is which compound? CrAgTe2Ru